Entry from Alexandria: Zr2ReAu after structural relaxation (PBE-GGA).

Cell: 7.4807 7.4807 6.0360 Å, 51.71 51.71 90.00°
Fractional coordinates of all 8 atoms:
Zr 0.3750 0.3900 0.7500
Re 0.5000 0.5000 0.0000
Zr 0.6100 0.1250 0.2500
Zr 0.8750 0.8600 0.7500
Re 0.2500 0.7500 0.5000
Zr 0.1400 0.6250 0.2500
Au 0.0000 0.0000 0.0000
Au 0.7500 0.2500 0.5000

Values from the calculation:
Density of states at the Fermi level = 0.691 states/eV per atom
Excess energy over the best structure of this formula in the dataset = 608 meV/atom
ρ = 11.55 g/cm³
DFT formation energy = 76 kJ/mol of formula units
Total energy = -64.1 eV for the cell shown